HfNpSc2P4: relaxed, PBE.

The formation energy from the elements is -1.29 eV per atom. The calculation puts the energy at -8.445 eV/atom. For the volume, the calculation gives 19.21 Å³/atom. For the total moment, the calculation gives 3.8 μB per formula unit.

The structure belongs to space group P2/m (No. 10); the cell edges are 6.540, 3.792 and 6.565 Å and the angles 90.00°, 109.31° and 90.00°. The distinct sites, in fractional coordinates, are Hf at (0.000, 0.000, 0.000), Np at (0.000, 0.500, 0.500), Sc at (0.500, 0.000, 0.500), Sc at (0.500, 0.500, 0.000), P at (0.250, 0.500, 0.244) and P at (0.256, 0.000, 0.759).

SmHfNp2P4: relaxed, PBE.

The formation energy from the elements is -1.14 eV per atom. The calculation puts the energy at -8.917 eV/atom. For the volume, the calculation gives 21.36 Å³/atom. For the total moment, the calculation gives 7.6 μB per formula unit.

The structure belongs to space group P2/m (No. 10); the cell edges are 6.762, 3.926 and 6.826 Å and the angles 90.00°, 109.42° and 90.00°. The distinct sites, in fractional coordinates, are Sm at (0.000, 0.000, 0.000), Hf at (0.000, 0.500, 0.500), Np at (0.500, 0.000, 0.500), Np at (0.500, 0.500, 0.000), P at (0.243, 0.000, 0.734) and P at (0.252, 0.500, 0.265).

Tb2HfNpP4: relaxed, PBE.

The formation energy from the elements is -1.35 eV per atom. The calculation puts the energy at -8.069 eV/atom. For the volume, the calculation gives 21.24 Å³/atom. For the total moment, the calculation gives 3.8 μB per formula unit.

The structure belongs to space group P2/m (No. 10); the cell edges are 6.763, 3.914 and 6.797 Å and the angles 90.00°, 109.21° and 90.00°. The distinct sites, in fractional coordinates, are Tb at (0.000, 0.000, 0.000), Tb at (0.500, 0.500, 0.000), Hf at (0.000, 0.500, 0.500), Np at (0.500, 0.000, 0.500), P at (0.238, 0.000, 0.733) and P at (0.247, 0.500, 0.262).

HfNp2TiP4: relaxed, PBE.

The formation energy from the elements is -1.05 eV per atom. The calculation puts the energy at -9.225 eV/atom. For the volume, the calculation gives 19.04 Å³/atom. For the total moment, the calculation gives 0.0 μB per formula unit.

The structure belongs to space group P2/m (No. 10); the cell edges are 6.496, 3.769 and 6.591 Å and the angles 90.00°, 109.32° and 90.00°. The distinct sites, in fractional coordinates, are Hf at (0.000, 0.000, 0.000), Np at (0.500, 0.000, 0.500), Np at (0.500, 0.500, 0.000), Ti at (0.000, 0.500, 0.500), P at (0.227, 0.000, 0.737) and P at (0.231, 0.500, 0.250).

Hf2Np3TiP6: relaxed, PBE.

The formation energy from the elements is -1.08 eV per atom. The calculation puts the energy at -9.336 eV/atom. For the volume, the calculation gives 19.25 Å³/atom. For the total moment, the calculation gives 10.8 μB per formula unit.

The structure belongs to space group C2/m (No. 12); the cell edges are 6.566, 11.370 and 6.564 Å and the angles 90.00°, 109.51° and 90.00°. The distinct sites, in fractional coordinates, are Hf at (0.000, 0.166, 0.000), Np at (0.000, 0.000, 0.500), Np at (0.000, 0.331, 0.500), Ti at (0.000, 0.500, 0.000), P at (0.240, 0.337, 0.230) and P at (0.248, 0.500, 0.765).

TmHfNp2P4: relaxed, PBE.

The formation energy from the elements is -1.16 eV per atom. The calculation puts the energy at -8.900 eV/atom. For the volume, the calculation gives 20.64 Å³/atom. For the total moment, the calculation gives 0.1 μB per formula unit.

The structure belongs to space group P2/m (No. 10); the cell edges are 6.711, 3.872 and 6.735 Å and the angles 90.00°, 109.38° and 90.00°. The distinct sites, in fractional coordinates, are Tm at (0.000, 0.000, 0.000), Hf at (0.000, 0.500, 0.500), Np at (0.500, 0.000, 0.500), Np at (0.500, 0.500, 0.000), P at (0.239, 0.000, 0.740) and P at (0.244, 0.500, 0.257).

HfNp2UP4: relaxed, PBE.

The formation energy from the elements is -1.01 eV per atom. The calculation puts the energy at -9.606 eV/atom. For the volume, the calculation gives 20.60 Å³/atom. For the total moment, the calculation gives 1.7 μB per formula unit.

The structure belongs to space group P2/m (No. 10); the cell edges are 6.693, 3.894 and 6.712 Å and the angles 90.00°, 109.62° and 90.00°. The distinct sites, in fractional coordinates, are Hf at (0.000, 0.000, 0.000), Np at (0.000, 0.500, 0.500), Np at (0.500, 0.000, 0.500), U at (0.500, 0.500, 0.000), P at (0.240, 0.500, 0.239) and P at (0.243, 0.000, 0.758).

Y2HfNpP4: relaxed, PBE.

The formation energy from the elements is -1.35 eV per atom. The calculation puts the energy at -8.533 eV/atom. For the volume, the calculation gives 21.13 Å³/atom. For the total moment, the calculation gives 3.8 μB per formula unit.

The structure belongs to space group P2/m (No. 10); the cell edges are 6.753, 3.908 and 6.785 Å and the angles 90.00°, 109.20° and 90.00°. The distinct sites, in fractional coordinates, are Y at (0.000, 0.000, 0.000), Y at (0.500, 0.500, 0.000), Hf at (0.000, 0.500, 0.500), Np at (0.500, 0.000, 0.500), P at (0.238, 0.000, 0.734) and P at (0.246, 0.500, 0.261).